1.
First-principles (PBE) data for a relaxed structure of RbTiMnBe2, as listed in Alexandria via LeMat-Bulk.

Cell: 5.059 5.059 4.628 Å, 90.00 90.00 90.00°
Space group P4/mmm (No. 123)
Asymmetric unit:
Rb (0.000, 0.000, 0.000) [1 per cell]
Ti (0.500, 0.500, 0.500) [1 per cell]
Mn (0.500, 0.500, 0.000) [1 per cell]
Be (0.000, 0.500, 0.500) [2 per cell]

* theoretical density: 2.9 g cm⁻³
* DOS(E_F): 4.7 states/eV/f.u.
* ΔE_f: 121 kJ per mole of atoms
* crystal system: tetragonal

=====

2.
First-principles (PBE) data for a relaxed structure of EuBi2Sb, as listed in Alexandria via LeMat-Bulk.

Cell: 5.4957 5.4957 23.4847 Å, 90.00 90.00 120.00°
Space group R-3m (No. 166, hexagonal axes)
Asymmetric unit:
Eu (0.0000, 0.0000, 0.0000) [3 per cell]
Bi (0.0000, 0.0000, 0.3796) [6 per cell]
Sb (0.0000, 0.0000, 0.5000) [3 per cell]

* offset from the most stable computed form: 628 meV/atom
* theoretical density: 5.6 g cm⁻³
* DOS(E_F): 10.3 states/eV/f.u.
* crystal system: trigonal

=====

3.
First-principles (PBE) data for a relaxed structure of ZnBOs2Ru, as listed in Alexandria via LeMat-Bulk.

Cell: 4.730 4.730 3.933 Å, 90.00 90.00 90.00°
Space group P4/mmm (No. 123)
Asymmetric unit:
Zn (0.000, 0.000, 0.000) [1 per cell]
B (0.500, 0.500, 0.000) [1 per cell]
Os (0.000, 0.500, 0.500) [2 per cell]
Ru (0.500, 0.500, 0.500) [1 per cell]

* theoretical density: 10.5 g cm⁻³
* DOS(E_F): 5.3 states/eV/f.u.
* ΔE_f: 177 kJ per mole of atoms
* crystal system: tetragonal

=====

4.
First-principles (PBE) data for a relaxed structure of CrTcCl2, as listed in Alexandria via LeMat-Bulk.

Cell: 9.515 3.233 6.227 Å, 90.00 98.26 90.00°
Space group Cm (No. 8)
Asymmetric unit:
Cr (0.000, 0.000, 0.000) [2 per cell]
Tc (0.325, 0.000, 0.957) [2 per cell]
Cl (0.190, 0.500, 0.197) [2 per cell]
Cl (0.476, 0.000, 0.677) [2 per cell]

* offset from the most stable computed form: 309 meV/atom
* theoretical density: 3.9 g cm⁻³
* DOS(E_F): 0.3 states/eV/f.u.
* crystal system: monoclinic